Record 1
DFT (PBE) results for a relaxed LaOs2Rh crystal.

a = 2.8211 Å, b = 2.8211 Å, c = 9.6631 Å
α = 90.00°, β = 90.00°, γ = 116.75°
Positions (direct):
La: 0.0000 0.0000 0.0000
Os: 0.5000 0.5000 0.2712
Os: 0.5000 0.5000 0.7288
Rh: 0.0000 0.0000 0.5000

polymorph energy (0 for the lowest one)	53.4	kJ per mole of atoms
formation enthalpy at 0 K	282	kJ/mol of formula units
magnetization	0.0	Bohr magnetons per cell
SG	No. 65
D(E_F)	6.0	states/eV per cell



Record 2
DFT (PBE) results for a relaxed Y2BePt crystal.

a = 3.3026 Å, b = 3.3026 Å, c = 7.8234 Å
α = 90.00°, β = 90.00°, γ = 90.00°
Positions (direct):
Y: 0.0000 0.0000 0.0000
Y: 0.5000 0.5000 0.3803
Be: 0.0000 0.0000 0.6350
Pt: 0.5000 0.5000 0.7530

formation enthalpy at 0 K	-152	kJ/mol of formula units
magnetization	0.0	Bohr magnetons per cell
SG	No. 99
D(E_F)	4.5	states/eV per cell



Record 3
DFT (PBE) results for a relaxed SrCaCo3 crystal.

a = 4.9355 Å, b = 4.9355 Å, c = 4.9355 Å
α = 90.00°, β = 90.00°, γ = 90.00°
Positions (direct):
Sr: 0.0000 0.0000 0.0000
Ca: 0.5000 0.5000 0.5000
Co: 0.0000 0.0000 0.5000
Co: 0.0000 0.5000 0.0000
Co: 0.5000 0.0000 0.0000

polymorph energy (0 for the lowest one)	25.9	kJ per mole of atoms
formation enthalpy at 0 K	775	kJ/mol of formula units
magnetization	3.7	Bohr magnetons per cell
SG	No. 221
D(E_F)	14.8	states/eV per cell



Record 4
DFT (PBE) results for a relaxed Nd6AlCd crystal.

a = 4.9391 Å, b = 4.9391 Å, c = 9.8697 Å
α = 90.00°, β = 90.00°, γ = 90.00°
Positions (direct):
Nd: 0.0000 0.0000 0.0000
Nd: 0.0000 0.0000 0.5000
Nd: 0.0000 0.5000 0.2428
Nd: 0.0000 0.5000 0.7572
Nd: 0.5000 0.0000 0.2428
Nd: 0.5000 0.0000 0.7572
Al: 0.5000 0.5000 0.0000
Cd: 0.5000 0.5000 0.5000

polymorph energy (0 for the lowest one)	0.0	kJ per mole of atoms
formation enthalpy at 0 K	-109	kJ/mol of formula units
magnetization	0.0	Bohr magnetons per cell
SG	No. 123
D(E_F)	11.3	states/eV per cell



Record 5
DFT (PBE) results for a relaxed HfInSbI2 crystal.

a = 5.7393 Å, b = 5.7393 Å, c = 5.6352 Å
α = 90.00°, β = 90.00°, γ = 90.00°
Positions (direct):
Hf: 0.0000 0.0000 0.0000
In: 0.5000 0.5000 0.5000
Sb: 0.0000 0.0000 0.5000
I: 0.0000 0.5000 0.0000
I: 0.5000 0.0000 0.0000

polymorph energy (0 for the lowest one)	0.0	kJ per mole of atoms
magnetization	0.0	Bohr magnetons per cell
SG	No. 123
D(E_F)	2.8	states/eV per cell



Record 6
DFT (PBE) results for a relaxed K2Sb2As crystal.

a = 10.5711 Å, b = 10.5711 Å, c = 3.1154 Å
α = 90.00°, β = 90.00°, γ = 90.00°
Positions (direct):
K: 0.2018 0.2982 0.0000
K: 0.2982 0.7982 0.0000
K: 0.7018 0.2018 0.0000
K: 0.7982 0.7018 0.0000
Sb: 0.0919 0.5919 0.5000
Sb: 0.4081 0.0919 0.5000
Sb: 0.5919 0.9081 0.5000
Sb: 0.9081 0.4081 0.5000
As: 0.0000 0.0000 0.0000
As: 0.5000 0.5000 0.0000

polymorph energy (0 for the lowest one)	31.2	kJ per mole of atoms
magnetization	0.0	Bohr magnetons per cell
SG	No. 127
D(E_F)	6.9	states/eV per cell



Record 7
DFT (PBE) results for a relaxed RbSm2Cl8 crystal.

a = 8.1748 Å, b = 8.1748 Å, c = 5.3047 Å
α = 90.05°, β = 90.05°, γ = 116.83°
Positions (direct):
Rb: 0.0000 0.0000 0.0000
Sm: 0.3020 0.6980 0.5000
Sm: 0.6980 0.3020 0.5000
Cl: 0.0565 0.3295 0.5010
Cl: 0.2603 0.7397 0.0000
Cl: 0.3295 0.0565 0.5010
Cl: 0.4994 0.4994 0.2478
Cl: 0.5006 0.5006 0.7522
Cl: 0.6705 0.9435 0.4990
Cl: 0.7397 0.2603 0.0000
Cl: 0.9435 0.6705 0.4990

polymorph energy (0 for the lowest one)	0.0	kJ per mole of atoms
magnetization	0.0	Bohr magnetons per cell
SG	No. 12
D(E_F)	6.2	states/eV per cell



Record 8
DFT (PBE) results for a relaxed Li2CuAg crystal.

a = 5.6551 Å, b = 5.6551 Å, c = 5.6551 Å
α = 151.74°, β = 131.49°, γ = 57.09°
Positions (direct):
Li: 0.2403 0.2403 0.0000
Li: 0.7597 0.7597 0.0000
Cu: 0.0000 0.0000 0.0000
Ag: 0.5000 0.5000 0.0000

formation enthalpy at 0 K	41	kJ/mol of formula units
magnetization	0.0	Bohr magnetons per cell
SG	No. 71
D(E_F)	1.1	states/eV per cell